[1]
DFT (PBE) results for a geometry-optimized SrPdO structure.

abc: 5.554 3.481 5.839
angles: 90.00 100.00 90.00
Space group P2/m (No. 10)
Asymmetric unit:
Sr1 0.189 0.000 0.281
Pd1 0.321 0.500 0.811
O1 0.000 0.500 0.000
O2 0.000 0.500 0.500

Crystal system   monoclinic
ρ   6.274 g/cm³

***

[2]
DFT (PBE) results for a geometry-optimized Sr2PdO3 structure.

abc: 5.204 11.274 13.304
angles: 90.00 97.52 90.00
Space group C2/c (No. 15)
Asymmetric unit:
Sr1 0.205 0.204 0.362
Sr2 0.223 0.102 0.935
Pd1 0.165 0.486 0.833
O1 0.000 0.040 0.250
O2 0.000 0.373 0.250
O3 0.216 0.316 0.891
O4 0.242 0.403 0.470

Crystal system   monoclinic
ρ   5.659 g/cm³

***

[3]
DFT (PBE) results for a geometry-optimized SrPdO structure.

abc: 7.696 8.190 3.581
angles: 90.00 90.00 90.00
Space group Imma (No. 74)
Asymmetric unit:
Sr1 0.250 0.250 0.250
Pd1 0.000 0.000 0.000
O1 0.000 0.250 0.778

Crystal system   orthorhombic
ρ   6.181 g/cm³

***

[4]
DFT (PBE) results for a geometry-optimized SrPdO structure.

abc: 4.2836 4.2836 8.3289
angles: 90.00 90.00 120.00
Space group P6_3/mmc (No. 194)
Asymmetric unit:
Sr1 0.3333 0.6667 0.2500
Pd1 0.0000 0.0000 0.0000
O1 0.0000 0.0000 0.2500

Crystal system   hexagonal
ρ   5.270 g/cm³

***

[5]
DFT (PBE) results for a geometry-optimized SrPdO structure.

abc: 3.393 5.918 6.639
angles: 106.22 90.02 106.39
Space group P1 (No. 1)
Asymmetric unit:
Sr1 0.000 0.000 0.000
Sr2 0.285 0.565 0.341
Pd1 0.043 0.089 0.468
Pd2 0.653 0.313 0.761
O1 0.469 0.939 0.255
O2 0.684 0.361 0.095

Crystal system   triclinic
ρ   5.702 g/cm³

***

[6]
DFT (PBE) results for a geometry-optimized SrPdO structure.

abc: 3.440 11.639 5.870
angles: 90.00 90.00 90.00
Space group Cmcm (No. 63)
Asymmetric unit:
Sr1 0.000 0.091 0.250
Pd1 0.000 0.353 0.250
O1 0.000 0.500 0.000

Crystal system   orthorhombic
ρ   5.937 g/cm³

***

[7]
DFT (PBE) results for a geometry-optimized SrPdO structure.

abc: 4.0284 4.0284 7.5827
angles: 90.00 90.00 120.00
Space group P6_3/mmc (No. 194)
Asymmetric unit:
Sr1 0.0000 0.0000 0.0000
Pd1 0.3333 0.6667 0.2500
O1 0.3333 0.6667 0.7500

Crystal system   hexagonal
ρ   6.546 g/cm³

***

[8]
DFT (PBE) results for a geometry-optimized Sr2PdO4 structure.

abc: 4.028 4.028 12.551
angles: 90.00 90.00 90.00
Space group I4/mmm (No. 139)
Asymmetric unit:
Sr1 0.000 0.000 0.142
Pd1 0.000 0.000 0.500
O1 0.000 0.000 0.336
O2 0.000 0.500 0.000

Crystal system   tetragonal
ρ   5.636 g/cm³
Offset from the most stable computed form   0 meV/atom

***

[9]
DFT (PBE) results for a geometry-optimized Sr3Pd2O6 structure.

abc: 20.423 4.059 4.058
angles: 90.00 101.40 90.00
Space group C2/m (No. 12)
Asymmetric unit:
Sr1 0.000 0.000 0.000
Sr2 0.179 0.000 0.178
Pd1 0.097 0.500 0.596
O1 0.083 0.000 0.583
O2 0.083 0.500 0.083
O3 0.200 0.500 0.703

Crystal system   monoclinic
ρ   5.757 g/cm³

***

[10]
DFT (PBE) results for a geometry-optimized Sr2PdO4 structure.

abc: 6.346 5.889 6.894
angles: 90.00 110.25 90.00
Space group P2_1/m (No. 11)
Asymmetric unit:
Sr1 0.182 0.250 0.032
Sr2 0.288 0.250 0.563
Pd1 0.252 0.750 0.793
O1 0.006 0.530 0.741
O2 0.483 0.750 0.067
O3 0.483 0.750 0.660

Crystal system   monoclinic
ρ   4.749 g/cm³
Offset from the most stable computed form   246 meV/atom

***

[11]
DFT (PBE) results for a geometry-optimized SrPdO structure.

abc: 4.150 4.573 6.219
angles: 90.00 104.72 90.00
Space group Pm (No. 6)
Asymmetric unit:
Sr1 0.000 0.000 0.000
Sr2 0.224 0.500 0.592
Pd1 0.589 0.500 0.201
Pd2 0.629 0.000 0.471
O1 0.069 0.500 0.152
O2 0.417 0.000 0.758

Crystal system   monoclinic
ρ   6.110 g/cm³

***

[12]
DFT (PBE) results for a geometry-optimized SrPdO structure.

abc: 5.672 5.678 7.104
angles: 90.00 90.88 90.00
Space group C2 (No. 5)
Asymmetric unit:
Sr1 0.000 0.000 0.000
Sr2 0.000 0.012 0.500
Pd1 0.006 0.513 0.728
O1 0.240 0.246 0.769

Crystal system   monoclinic
ρ   6.099 g/cm³

***

[13]
DFT (PBE) results for a geometry-optimized SrPdO structure.

abc: 5.891 3.399 11.679
angles: 90.00 90.00 90.00
Space group Pnma (No. 62)
Asymmetric unit:
Sr1 0.131 0.250 0.171
Pd1 0.113 0.750 0.436
O1 0.169 0.250 0.797

Crystal system   orthorhombic
ρ   5.966 g/cm³

***

[14]
DFT (PBE) results for a geometry-optimized SrPdO structure.

abc: 3.903 3.903 8.572
angles: 90.00 90.00 90.00
Space group P4/nmm (No. 129, origin choice 2)
Asymmetric unit:
Sr1 0.250 0.250 0.156
Pd1 0.250 0.250 0.527
O1 0.250 0.750 0.000

Crystal system   tetragonal
ρ   5.340 g/cm³

***

[15]
DFT (PBE) results for a geometry-optimized SrPd3O structure.

abc: 4.446 4.446 4.446
angles: 90.00 90.00 90.00
Space group Pm-3m (No. 221)
Asymmetric unit:
Sr1 0.000 0.000 0.000
Pd1 0.000 0.500 0.500
O1 0.500 0.500 0.500

Crystal system   cubic
ρ   7.989 g/cm³
Offset from the most stable computed form   0 meV/atom

***

[16]
DFT (PBE) results for a geometry-optimized SrPd3O structure.

abc: 5.204 5.204 5.204
angles: 90.00 90.00 90.00
Space group Pm-3m (No. 221)
Asymmetric unit:
Sr1 0.000 0.000 0.000
Pd1 0.000 0.000 0.500
O1 0.500 0.500 0.500

Crystal system   cubic
ρ   4.982 g/cm³
Offset from the most stable computed form   1840 meV/atom

***

[17]
DFT (PBE) results for a geometry-optimized Sr4Pd2O structure.

abc: 5.002 5.002 25.535
angles: 90.00 90.00 90.00
Space group I4/mmm (No. 139)
Asymmetric unit:
Sr1 0.000 0.000 0.194
Sr2 0.000 0.500 0.000
Pd1 0.000 0.000 0.087
O1 0.000 0.000 0.000

Crystal system   tetragonal
ρ   3.011 g/cm³
Offset from the most stable computed form   766 meV/atom

***

[18]
DFT (PBE) results for a geometry-optimized Sr2PdO4 structure.

abc: 8.270 8.270 7.415
angles: 90.00 90.00 90.00
Space group I-42d (No. 122)
Asymmetric unit:
Sr1 0.212 0.250 0.125
Pd1 0.000 0.000 0.500
O1 0.046 0.222 0.411

Crystal system   tetragonal
ρ   4.527 g/cm³
Offset from the most stable computed form   157 meV/atom

***

[19]
DFT (PBE) results for a geometry-optimized SrPdO structure.

abc: 14.480 3.755 4.511
angles: 90.00 102.82 90.00
Space group Cm (No. 8)
Asymmetric unit:
Sr1 0.000 0.000 0.000
Sr2 0.217 0.000 0.766
Pd1 0.243 0.500 0.280
Pd2 0.386 0.000 0.418
O1 0.118 0.500 0.932
O2 0.390 0.000 0.913

Crystal system   monoclinic
ρ   5.834 g/cm³

***

[20]
DFT (PBE) results for a geometry-optimized SrPd2O structure.

abc: 5.258 5.258 12.795
angles: 90.00 90.00 90.00
Space group I4_1/amd (No. 141, origin choice 2)
Asymmetric unit:
Sr1 0.000 0.250 0.375
Pd1 0.000 0.000 0.000
O1 0.000 0.250 0.875

Crystal system   tetragonal
ρ   5.942 g/cm³

***

[21]
DFT (PBE) results for a geometry-optimized SrPdO structure.

abc: 3.591 3.591 8.155
angles: 90.00 90.00 90.00
Space group P4/nmm (No. 129, origin choice 2)
Asymmetric unit:
Sr1 0.250 0.250 0.167
Pd1 0.250 0.250 0.581
O1 0.250 0.250 0.854

Crystal system   tetragonal
ρ   6.634 g/cm³

***

[22]
DFT (PBE) results for a geometry-optimized SrPdO structure.

abc: 3.628 3.628 4.215
angles: 90.00 90.00 90.00
Space group P4/mmm (No. 123)
Asymmetric unit:
Sr1 0.000 0.000 0.000
Pd1 0.500 0.500 0.500
O1 0.500 0.500 0.000

Crystal system   tetragonal
ρ   6.286 g/cm³

***

[23]
DFT (PBE) results for a geometry-optimized SrPd3O4 structure.

abc: 5.922 5.922 5.922
angles: 90.00 90.00 90.00
Space group Pm-3n (No. 223)
Asymmetric unit:
Sr1 0.000 0.000 0.000
Pd1 0.000 0.250 0.500
O1 0.250 0.250 0.250

Crystal system   cubic
ρ   7.531 g/cm³

***

[24]
DFT (PBE) results for a geometry-optimized Sr5PdO6 structure.

abc: 6.183 11.009 6.159
angles: 90.00 106.61 90.00
Space group C2/m (No. 12)
Asymmetric unit:
Sr1 0.000 0.000 0.000
Sr2 0.000 0.172 0.500
Sr3 0.000 0.338 0.000
Pd1 0.000 0.500 0.500
O1 0.222 0.500 0.287
O2 0.232 0.171 0.232

Crystal system   monoclinic
ρ   5.295 g/cm³

***

Number 1: E -31.53 eV per cell, V 111 Å³ per cell. Number 2: E -276.65 eV per cell, V 774 Å³ per cell. Number 3: E -63.03 eV per cell, V 226 Å³ per cell. Number 4: E -32.06 eV per cell, V 132 Å³ per cell. Number 5: E -31.19 eV per cell, V 122 Å³ per cell. Number 6: E -61.62 eV per cell, V 235 Å³ per cell. Number 7: E -29.56 eV per cell, V 107 Å³ per cell. Number 8: E -81.62 eV per cell, V 204 Å³ per cell. Number 9: E -126.70 eV per cell, V 330 Å³ per cell. Number 10: E -78.18 eV per cell, V 242 Å³ per cell. Number 11: E -31.94 eV per cell, V 114 Å³ per cell. Number 12: E -64.55 eV per cell, V 229 Å³ per cell. Number 13: E -64.27 eV per cell, V 234 Å³ per cell. Number 14: E -30.41 eV per cell, V 131 Å³ per cell. Number 15: E -24.08 eV per cell, V 88 Å³ per cell. Number 16: E -14.88 eV per cell, V 141 Å³ per cell. Number 17: E -48.26 eV per cell, V 639 Å³ per cell. Number 18: E -158.84 eV per cell, V 507 Å³ per cell. Number 19: E -62.68 eV per cell, V 239 Å³ per cell. Number 20: E -77.01 eV per cell, V 354 Å³ per cell. Number 21: E -32.80 eV per cell, V 105 Å³ per cell. Number 22: E -16.32 eV per cell, V 55 Å³ per cell. Number 23: E -92.14 eV per cell, V 208 Å³ per cell. Number 24: E -140.17 eV per cell, V 402 Å³ per cell.